P | The following is a DFT calculation (PBE-GGA) of an optimized crystal structure of Ac5TlPb2.

Output
Total magnetic moment ... 0.000 μB per atom
Volume ... 38.90 A^3/atom

Cell: 10.041 10.041 10.041 Å, 127.21 127.21 77.91°
Fractional coordinates of all 16 atoms:
Ac1 0.000 0.000 0.000
Ac2 0.017 0.517 0.832
Ac3 0.185 0.017 0.500
Ac4 0.315 0.815 0.832
Ac5 0.483 0.315 0.500
Ac6 0.500 0.500 0.000
Ac7 0.517 0.685 0.500
Ac8 0.685 0.185 0.168
Ac9 0.815 0.983 0.500
Ac10 0.983 0.483 0.168
Tl1 0.250 0.250 0.000
Tl2 0.750 0.750 0.000
Pb1 0.134 0.366 0.500
Pb2 0.366 0.866 0.232
Pb3 0.634 0.134 0.768
Pb4 0.866 0.634 0.500

---

Q | The following is a DFT calculation (PBE-GGA) of an optimized crystal structure of Ac5TlPb2.

Output
Total magnetic moment ... 0.000 μB per atom
Volume ... 39.72 A^3/atom

Cell: 6.853 6.853 18.283 Å, 90.00 90.00 132.26°
Fractional coordinates of all 16 atoms:
Ac1 0.092 0.908 0.585
Ac2 0.092 0.908 0.915
Ac3 0.316 0.684 0.250
Ac4 0.395 0.605 0.619
Ac5 0.395 0.605 0.881
Ac6 0.605 0.395 0.119
Ac7 0.605 0.395 0.381
Ac8 0.684 0.316 0.750
Ac9 0.908 0.092 0.085
Ac10 0.908 0.092 0.415
Tl1 0.030 0.970 0.250
Tl2 0.970 0.030 0.750
Pb1 0.253 0.747 0.069
Pb2 0.253 0.747 0.431
Pb3 0.747 0.253 0.569
Pb4 0.747 0.253 0.931

---

Most stable structure - P; separation to the second - 12.8 kJ/mol of atoms.

---

P | The following is a DFT calculation (PBE-GGA) of an optimized crystal structure of Ac2TlPb2.

Output
Total magnetic moment ... 0.000 μB per atom
Volume ... 35.77 A^3/atom

Cell: 8.608 8.608 4.828 Å, 90.00 90.00 90.00°
Fractional coordinates of all 10 atoms:
Ac1 0.176 0.324 0.000
Ac2 0.324 0.824 0.000
Ac3 0.676 0.176 0.000
Ac4 0.824 0.676 0.000
Tl1 0.000 0.000 0.500
Tl2 0.500 0.500 0.500
Pb1 0.126 0.626 0.500
Pb2 0.374 0.126 0.500
Pb3 0.626 0.874 0.500
Pb4 0.874 0.374 0.500

---

Q | The following is a DFT calculation (PBE-GGA) of an optimized crystal structure of Ac2TlPb2.

Output
Total magnetic moment ... 0.000 μB per atom
Volume ... 40.09 A^3/atom

Cell: 5.789 5.789 6.907 Å, 90.00 90.00 120.00°
Fractional coordinates of all 5 atoms:
Ac1 0.333 0.667 0.236
Ac2 0.667 0.333 0.764
Tl1 0.000 0.000 0.000
Pb1 0.333 0.667 0.727
Pb2 0.667 0.333 0.273

---

Most stable structure - P; separation to the second - 16.3 kJ/mol of atoms.

---

P | The following is a DFT calculation (PBE-GGA) of an optimized crystal structure of Ac2TlPb4.

Output
Total magnetic moment ... 0.000 μB per atom
Volume ... 35.45 A^3/atom

Cell: 7.125 7.114 6.933 Å, 60.95 60.78 58.27°
Fractional coordinates of all 7 atoms:
Ac1 0.000 0.000 0.500
Ac2 0.500 0.500 0.000
Tl1 0.000 0.000 0.000
Pb1 0.000 0.500 0.000
Pb2 0.000 0.500 0.500
Pb3 0.500 0.000 0.000
Pb4 0.500 0.000 0.500

---

Q | The following is a DFT calculation (PBE-GGA) of an optimized crystal structure of Ac2TlPb4.

Output
Total magnetic moment ... 0.000 μB per atom
Volume ... 35.46 A^3/atom

Cell: 11.778 11.778 11.778 Å, 157.05 157.05 32.68°
Fractional coordinates of all 7 atoms:
Ac1 0.092 0.092 0.000
Ac2 0.908 0.908 0.000
Tl1 0.500 0.500 0.000
Pb1 0.250 0.750 0.500
Pb2 0.360 0.360 0.000
Pb3 0.640 0.640 0.000
Pb4 0.750 0.250 0.500

---

Most stable structure - P; separation to the second - 12.8 kJ/mol of atoms.

---

P | The following is a DFT calculation (PBE-GGA) of an optimized crystal structure of Ac3Tl3Pb2.

Output
Total magnetic moment ... 0.000 μB per atom
Volume ... 34.46 A^3/atom

Cell: 6.843 6.843 17.360 Å, 90.00 90.00 137.29°
Fractional coordinates of all 16 atoms:
Ac1 0.058 0.942 0.611
Ac2 0.058 0.942 0.889
Ac3 0.327 0.673 0.750
Ac4 0.673 0.327 0.250
Ac5 0.942 0.058 0.111
Ac6 0.942 0.058 0.389
Tl1 0.376 0.624 0.535
Tl2 0.376 0.624 0.965
Tl3 0.411 0.589 0.250
Tl4 0.589 0.411 0.750
Tl5 0.624 0.376 0.035
Tl6 0.624 0.376 0.465
Pb1 0.233 0.767 0.118
Pb2 0.233 0.767 0.382
Pb3 0.767 0.233 0.618
Pb4 0.767 0.233 0.882

---

Q | The following is a DFT calculation (PBE-GGA) of an optimized crystal structure of Ac3Tl3Pb2.

Output
Total magnetic moment ... 0.000 μB per atom
Volume ... 34.15 A^3/atom

Cell: 11.130 11.130 5.372 Å, 100.47 100.47 24.70°
Fractional coordinates of all 8 atoms:
Ac1 0.000 0.000 0.000
Ac2 0.135 0.135 0.592
Ac3 0.865 0.865 0.408
Tl1 0.379 0.379 0.921
Tl2 0.500 0.500 0.500
Tl3 0.621 0.621 0.079
Pb1 0.246 0.246 0.198
Pb2 0.754 0.754 0.802

---

Most stable structure - P; separation to the second - 5.7 kJ/mol of atoms.

---

P | The following is a DFT calculation (PBE-GGA) of an optimized crystal structure of AcTmPb.

Output
Total magnetic moment ... 0.000 μB per atom
Volume ... 37.76 A^3/atom

Cell: 5.431 5.431 5.431 Å, 60.00 60.00 60.00°
Fractional coordinates of all 3 atoms:
Ac1 0.000 0.000 0.000
Tm1 0.500 0.500 0.500
Pb1 0.750 0.750 0.750

---

Q | The following is a DFT calculation (PBE-GGA) of an optimized crystal structure of AcTmPb.

Output
Total magnetic moment ... 0.333 μB per atom
Volume ... 34.71 A^3/atom

Cell: 4.830 4.830 8.928 Å, 90.00 90.00 90.00°
Fractional coordinates of all 6 atoms:
Ac1 0.250 0.250 0.150
Ac2 0.750 0.750 0.850
Tm1 0.250 0.750 0.500
Tm2 0.750 0.250 0.500
Pb1 0.250 0.250 0.745
Pb2 0.750 0.750 0.255

---

R | The following is a DFT calculation (PBE-GGA) of an optimized crystal structure of AcTmPb.

Output
Total magnetic moment ... 0.241 μB per atom
Volume ... 34.67 A^3/atom

Cell: 9.551 9.551 9.551 Å, 150.71 150.71 41.90°
Fractional coordinates of all 6 atoms:
Ac1 0.175 0.175 0.000
Ac2 0.825 0.825 0.000
Tm1 0.000 0.500 0.500
Tm2 0.500 0.000 0.500
Pb1 0.376 0.376 0.000
Pb2 0.624 0.624 0.000

---

Most stable structure - R; separation to the second - 3.4 kJ/mol of atoms.

---

P | The following is a DFT calculation (PBE-GGA) of an optimized crystal structure of AcTmPb.

Output
Total magnetic moment ... 0.000 μB per atom
Volume ... 34.34 A^3/atom

Cell: 7.636 7.636 7.636 Å, 151.22 151.22 41.16°
Fractional coordinates of all 3 atoms:
Ac1 0.000 0.000 0.000
Tm1 0.692 0.692 0.000
Pb1 0.329 0.329 0.000

---

Q | The following is a DFT calculation (PBE-GGA) of an optimized crystal structure of AcTmPb.

Output
Total magnetic moment ... 0.000 μB per atom
Volume ... 35.48 A^3/atom

Cell: 5.208 5.208 4.531 Å, 90.00 90.00 120.00°
Fractional coordinates of all 3 atoms:
Ac1 0.000 0.000 0.000
Tm1 0.667 0.333 0.500
Pb1 0.333 0.667 0.500

---

Most stable structure - Q; separation to the second - 4.6 kJ/mol of atoms.

---

P | The following is a DFT calculation (PBE-GGA) of an optimized crystal structure of Ac2TmPb.

Output
Total magnetic moment ... 0.000 μB per atom
Volume ... 37.69 A^3/atom

Cell: 13.030 13.030 13.030 Å, 16.23 16.23 16.23°
Fractional coordinates of all 4 atoms:
Ac1 0.091 0.091 0.091
Ac2 0.909 0.909 0.909
Tm1 0.000 0.000 0.000
Pb1 0.500 0.500 0.500

---

Q | The following is a DFT calculation (PBE-GGA) of an optimized crystal structure of Ac2TmPb.

Output
Total magnetic moment ... 0.000 μB per atom
Volume ... 36.70 A^3/atom

Cell: 4.477 4.477 7.324 Å, 90.00 90.00 90.00°
Fractional coordinates of all 4 atoms:
Ac1 0.000 0.000 0.236
Ac2 0.000 0.000 0.764
Tm1 0.500 0.500 0.500
Pb1 0.500 0.500 0.000

---

Most stable structure - Q; separation to the second - 31.0 kJ/mol of atoms.

---

P | The following is a DFT calculation (PBE-GGA) of an optimized crystal structure of Ac2TmPb.

Output
Total magnetic moment ... 0.000 μB per atom
Volume ... 35.26 A^3/atom

Cell: 5.243 5.243 5.131 Å, 90.00 90.00 90.00°
Fractional coordinates of all 4 atoms:
Ac1 0.000 0.500 0.000
Ac2 0.500 0.000 0.000
Tm1 0.000 0.000 0.500
Pb1 0.500 0.500 0.500

---

Q | The following is a DFT calculation (PBE-GGA) of an optimized crystal structure of Ac2TmPb.

Output
Total magnetic moment ... 0.000 μB per atom
Volume ... 36.36 A^3/atom

Cell: 5.903 5.903 5.903 Å, 60.00 60.00 60.00°
Fractional coordinates of all 4 atoms:
Ac1 0.250 0.250 0.250
Ac2 0.750 0.750 0.750
Tm1 0.000 0.000 0.000
Pb1 0.500 0.500 0.500

---

Most stable structure - P; separation to the second - 11.1 kJ/mol of atoms.

---

P | The following is a DFT calculation (PBE-GGA) of an optimized crystal structure of AcTm5Pb6.

Output
Total magnetic moment ... 0.000 μB per atom
Volume ... 30.11 A^3/atom

Cell: 8.252 8.252 7.869 Å, 95.39 95.39 135.85°
Fractional coordinates of all 12 atoms:
Ac1 0.000 0.000 0.000
Tm1 0.000 0.000 0.500
Tm2 0.327 0.673 0.000
Tm3 0.349 0.651 0.500
Tm4 0.651 0.349 0.500
Tm5 0.673 0.327 0.000
Pb1 0.171 0.819 0.271
Pb2 0.181 0.829 0.729
Pb3 0.470 0.470 0.761
Pb4 0.530 0.530 0.239
Pb5 0.819 0.171 0.271
Pb6 0.829 0.181 0.729

---

Q | The following is a DFT calculation (PBE-GGA) of an optimized crystal structure of AcTm5Pb6.

Output
Total magnetic moment ... 0.000 μB per atom
Volume ... 28.98 A^3/atom

Cell: 9.183 9.183 9.183 Å, 147.41 122.37 67.80°
Fractional coordinates of all 12 atoms:
Ac1 0.000 0.000 0.000
Tm1 0.170 0.670 0.500
Tm2 0.331 0.331 0.000
Tm3 0.500 0.000 0.500
Tm4 0.669 0.669 0.000
Tm5 0.830 0.330 0.500
Pb1 0.084 0.828 0.256
Pb2 0.263 0.500 0.763
Pb3 0.428 0.172 0.256
Pb4 0.572 0.828 0.744
Pb5 0.737 0.500 0.237
Pb6 0.916 0.172 0.744

---

Most stable structure - P; separation to the second - 1.3 kJ/mol of atoms.

---

P | The following is a DFT calculation (PBE-GGA) of an optimized crystal structure of Ac5TmPb6.

Output
Total magnetic moment ... 0.000 μB per atom
Volume ... 36.33 A^3/atom

Cell: 8.358 8.358 9.078 Å, 95.09 95.09 135.03°
Fractional coordinates of all 12 atoms:
Ac1 0.000 0.000 0.000
Ac2 0.320 0.680 0.000
Ac3 0.343 0.657 0.500
Ac4 0.657 0.343 0.500
Ac5 0.680 0.320 0.000
Tm1 0.000 0.000 0.500
Pb1 0.141 0.824 0.266
Pb2 0.176 0.859 0.734
Pb3 0.440 0.440 0.758
Pb4 0.560 0.560 0.242
Pb5 0.824 0.141 0.266
Pb6 0.859 0.176 0.734

---

Q | The following is a DFT calculation (PBE-GGA) of an optimized crystal structure of Ac5TmPb6.

Output
Total magnetic moment ... 0.000 μB per atom
Volume ... 34.21 A^3/atom

Cell: 9.768 9.768 6.092 Å, 99.30 99.30 45.84°
Fractional coordinates of all 12 atoms:
Ac1 0.000 0.000 0.000
Ac2 0.167 0.167 0.680
Ac3 0.323 0.323 0.290
Ac4 0.677 0.677 0.710
Ac5 0.833 0.833 0.320
Tm1 0.500 0.500 0.000
Pb1 0.112 0.578 0.808
Pb2 0.275 0.725 0.500
Pb3 0.422 0.888 0.192
Pb4 0.578 0.112 0.808
Pb5 0.725 0.275 0.500
Pb6 0.888 0.422 0.192

---

Most stable structure - Q; separation to the second - 1.4 kJ/mol of atoms.

---

P | The following is a DFT calculation (PBE-GGA) of an optimized crystal structure of AcYPb.

Output
Total magnetic moment ... 0.015 μB per atom
Volume ... 38.40 A^3/atom

Cell: 5.462 5.462 5.462 Å, 60.00 60.00 60.00°
Fractional coordinates of all 3 atoms:
Ac1 0.000 0.000 0.000
Y1 0.500 0.500 0.500
Pb1 0.750 0.750 0.750

---

Q | The following is a DFT calculation (PBE-GGA) of an optimized crystal structure of AcYPb.

Output
Total magnetic moment ... 0.000 μB per atom
Volume ... 36.26 A^3/atom

Cell: 5.260 5.260 4.539 Å, 90.00 90.00 120.00°
Fractional coordinates of all 3 atoms:
Ac1 0.000 0.000 0.000
Y1 0.667 0.333 0.500
Pb1 0.333 0.667 0.500

---

R | The following is a DFT calculation (PBE-GGA) of an optimized crystal structure of AcYPb.

Output
Total magnetic moment ... 0.277 μB per atom
Volume ... 35.37 A^3/atom

Cell: 9.623 9.623 9.623 Å, 150.76 150.76 41.83°
Fractional coordinates of all 6 atoms:
Ac1 0.176 0.176 0.000
Ac2 0.824 0.824 0.000
Y1 0.000 0.500 0.500
Y2 0.500 0.000 0.500
Pb1 0.375 0.375 0.000
Pb2 0.625 0.625 0.000

---

S | The following is a DFT calculation (PBE-GGA) of an optimized crystal structure of AcYPb.

Output
Total magnetic moment ... 0.405 μB per atom
Volume ... 35.40 A^3/atom

Cell: 4.866 4.866 8.972 Å, 90.00 90.00 90.00°
Fractional coordinates of all 6 atoms:
Ac1 0.250 0.250 0.148
Ac2 0.750 0.750 0.852
Y1 0.250 0.750 0.500
Y2 0.750 0.250 0.500
Pb1 0.250 0.250 0.749
Pb2 0.750 0.750 0.251

---

Most stable structure - R; separation to the second - 2.6 kJ/mol of atoms.